KY2Sc, relaxed, DFT PBE; energy of formation = 0.596 eV per atom; energy above the most stable polymorph in this dataset = 362 meV/atom
1.0
5.217 0.000 0.000
0.000 5.217 0.000
0.000 0.000 5.052
K Y Sc
1 2 1
Direct
0.000 0.000 0.000
0.000 0.500 0.500
0.500 0.000 0.500
0.500 0.500 0.000


Zr2SbCl, relaxed, DFT PBE; formation energy from raw total energies = -0.536 eV/atom; energy above the most stable polymorph in this dataset = 176 meV/atom
1.0
3.492 0.000 0.000
0.000 3.492 0.000
0.000 0.000 6.992
Zr Sb Cl
2 1 1
Direct
0.000 0.000 0.235
0.000 0.000 0.765
0.500 0.500 0.000
0.500 0.500 0.500


GdDyMgSc, relaxed, DFT PBE; energy of formation = 0.023 eV per atom
1.0
0.000 3.811 3.811
3.811 0.000 3.811
3.811 3.811 0.000
Gd Dy Mg Sc
1 1 1 1
Direct
0.000 0.000 0.000
0.500 0.500 0.500
0.750 0.750 0.750
0.250 0.250 0.250


Zr2Cd2Au, relaxed, DFT PBE; energy of formation = -0.041 eV per atom; energy above the most stable polymorph in this dataset = 215 meV/atom
1.0
7.145 0.000 0.000
0.000 7.145 0.000
0.000 0.000 4.238
Zr Cd Au
4 4 2
Direct
0.166 0.334 0.000
0.334 0.834 0.000
0.666 0.166 0.000
0.834 0.666 0.000
0.137 0.637 0.500
0.363 0.137 0.500
0.637 0.863 0.500
0.863 0.363 0.500
0.000 0.000 0.500
0.500 0.500 0.500


DyTlBr4, relaxed, DFT PBE; formation energy from raw total energies = -1.527 eV/atom
1.0
4.271 0.000 0.000
2.122 6.824 0.000
0.001 1.799 8.228
Dy Tl Br
1 1 4
Direct
0.000 0.000 0.000
0.500 0.000 0.500
0.119 0.760 0.309
0.384 0.233 0.093
0.616 0.767 0.907
0.881 0.240 0.691


Pr3AlSi2, relaxed, DFT PBE; formation energy from raw total energies = -0.602 eV/atom
1.0
12.036 0.000 0.000
0.000 4.250 0.000
0.000 0.000 12.170
Pr Al Si
12 4 8
Direct
0.062 0.250 0.117
0.122 0.750 0.561
0.195 0.250 0.795
0.305 0.750 0.295
0.378 0.250 0.061
0.438 0.750 0.617
0.562 0.250 0.383
0.622 0.750 0.939
0.695 0.250 0.705
0.805 0.750 0.205
0.878 0.250 0.439
0.938 0.750 0.883
0.134 0.250 0.367
0.366 0.750 0.867
0.634 0.250 0.133
0.866 0.750 0.633
0.032 0.750 0.316
0.191 0.750 0.985
0.309 0.250 0.485
0.468 0.250 0.816
0.532 0.750 0.184
0.691 0.750 0.515
0.809 0.250 0.015
0.968 0.250 0.684


AcLaAu2, relaxed, DFT PBE; energy of formation = -0.814 eV per atom; energy above the most stable polymorph in this dataset = 0 meV/atom
1.0
4.903 0.000 0.000
0.000 2.050 5.868
0.000 -2.050 5.868
Ac La Au
1 1 2
Direct
0.000 0.000 0.000
0.500 0.730 0.730
0.000 0.276 0.276
0.500 0.450 0.450


Pr5Sc2In5, relaxed, DFT PBE; energy of formation = -0.313 eV per atom
1.0
5.021 -2.701 0.000
5.021 2.701 0.000
-3.573 0.000 12.871
Pr Sc In
5 2 5
Direct
0.000 0.000 0.000
0.350 0.350 0.513
0.425 0.425 0.189
0.575 0.575 0.811
0.650 0.650 0.487
0.198 0.198 0.704
0.802 0.802 0.296
0.000 0.000 0.500
0.124 0.124 0.284
0.297 0.297 0.932
0.703 0.703 0.068
0.876 0.876 0.716


no.,DOS(E_F) (states/eV/f.u.)
1,5.6
2,2.2
3,4.9
4,3.5
5,0.0
6,4.8
7,3.6
8,9.3